The following is a DFT calculation (PBE) of CdMo3 after structural relaxation.

It has space group Cmmm (No. 65), with a = 3.220 Å, b = 4.492 Å, c = 9.352 Å, α = 90.00°, β = 90.00° and γ = 90.00°. The asymmetric unit holds Cd at (0.000, 0.000, 0.000), Mo at (0.000, 0.000, 0.500) and Mo at (0.000, 0.500, 0.267).

As for the crystal system: orthorhombic. The magnetic moment comes out at 0.0 μB/f.u. For the offset from the most stable computed form, the calculation gives 0.0000 eV per atom. The value obtained for the formation energy is 0.219 eV/atom. For the raw total energy, the calculation gives -8.13 eV/atom. The volume comes out at 16.911 Å³ per atom.



The following is a DFT calculation (PBE) of CrCuTeOs2 after structural relaxation.

It has space group P4/mmm (No. 123), with a = 4.805 Å, b = 4.805 Å, c = 4.659 Å, α = 90.00°, β = 90.00° and γ = 90.00°. The asymmetric unit holds Cr at (0.000, 0.000, 0.000), Cu at (0.500, 0.500, 0.000), Te at (0.000, 0.000, 0.500) and Os at (0.000, 0.500, 0.500).

As for the uncorrected formation energy: 2.360 eV per atom. As for the crystal system: tetragonal. The magnetic moment comes out at 1.3 μB/f.u. For the raw total energy, the calculation gives -5.50 eV/atom. The volume comes out at 21.510 Å³ per atom.



The following is a DFT calculation (PBE) of CaTmInIr after structural relaxation.

It has space group F-43m (No. 216), with a = 7.117 Å, b = 7.117 Å, c = 7.117 Å, α = 90.00°, β = 90.00° and γ = 90.00°. The asymmetric unit holds Ca at (0.000, 0.000, 0.000), Tm at (0.000, 0.000, 0.500), In at (0.250, 0.250, 0.750) and Ir at (0.250, 0.250, 0.250).

As for the crystal system: cubic. The magnetic moment comes out at 0.0 μB/f.u. The value obtained for the formation energy is -0.418 eV/atom. For the raw total energy, the calculation gives -4.94 eV/atom. The volume comes out at 22.530 Å³ per atom.



The following is a DFT calculation (PBE) of Li2DyZn after structural relaxation.

It has space group R-3m (No. 166, hexagonal axes), with a = 3.1762 Å, b = 3.1762 Å, c = 31.0415 Å, α = 90.00°, β = 90.00° and γ = 120.00°. The asymmetric unit holds Li at (0.0000, 0.0000, 0.0992), Dy at (0.0000, 0.0000, 0.0000) and Zn at (0.0000, 0.0000, 0.5000).

As for the crystal system: trigonal. The magnetic moment comes out at 0.0 μB/f.u. For the offset from the most stable computed form, the calculation gives 0.1673 eV per atom. The value obtained for the formation energy is 0.176 eV/atom. For the raw total energy, the calculation gives -2.25 eV/atom. The volume comes out at 22.600 Å³ per atom.



The following is a DFT calculation (PBE) of Dy4ErSe7 after structural relaxation.

It has space group Cm (No. 8), with a = 13.359 Å, b = 3.962 Å, c = 12.177 Å, α = 90.00°, β = 104.46° and γ = 90.00°. The asymmetric unit holds Dy at (0.000, 0.000, 0.000), Dy at (0.088, 0.500, 0.390), Dy at (0.187, 0.000, 0.766), Dy at (0.387, 0.500, 0.577), Er at (0.275, 0.500, 0.155), Se at (0.047, 0.500, 0.628), Se at (0.130, 0.500, 0.930), Se at (0.147, 0.000, 0.225), Se at (0.227, 0.000, 0.527), Se at (0.348, 0.500, 0.793), Se at (0.386, 0.000, 0.078) and Se at (0.427, 0.500, 0.360).

As for the uncorrected formation energy: -1.859 eV per atom. As for the crystal system: monoclinic. The magnetic moment comes out at 0.0 μB/f.u. For the raw total energy, the calculation gives -5.81 eV/atom. The volume comes out at 26.004 Å³ per atom.



The following is a DFT calculation (PBE) of HgIr2Cl after structural relaxation.

It has space group Cmmm (No. 65), with a = 5.821 Å, b = 8.171 Å, c = 2.875 Å, α = 90.00°, β = 90.00° and γ = 90.00°. The asymmetric unit holds Hg at (0.000, 0.000, 0.000), Ir at (0.250, 0.250, 0.500) and Cl at (0.000, 0.500, 0.000).

As for the uncorrected formation energy: 1.104 eV per atom. As for the crystal system: orthorhombic. The magnetic moment comes out at 0.0 μB/f.u. For the offset from the most stable computed form, the calculation gives 0.7969 eV per atom. For the raw total energy, the calculation gives -3.86 eV/atom. The volume comes out at 17.091 Å³ per atom.



The following is a DFT calculation (PBE) of Sr4As2O after structural relaxation.

It has space group P2_1/m (No. 11), with a = 7.084 Å, b = 7.089 Å, c = 9.022 Å, α = 90.00°, β = 108.91° and γ = 90.00°. The asymmetric unit holds Sr at (0.015, 0.009, 0.246), Sr at (0.423, 0.250, 0.575), Sr at (0.451, 0.250, 0.144), As at (0.203, 0.750, 0.545), As at (0.267, 0.750, 0.068) and O at (0.246, 0.250, 0.304).

As for the uncorrected formation energy: -1.529 eV per atom. As for the crystal system: monoclinic. The magnetic moment comes out at 0.0 μB/f.u. For the offset from the most stable computed form, the calculation gives 0.0851 eV per atom. For the raw total energy, the calculation gives -4.53 eV/atom. The volume comes out at 30.612 Å³ per atom.



The following is a DFT calculation (PBE) of MnTeCl after structural relaxation.

It has space group P3m1 (No. 156), with a = 3.6765 Å, b = 3.6765 Å, c = 7.1641 Å, α = 90.00°, β = 90.00° and γ = 120.00°. The asymmetric unit holds Mn at (0.0000, 0.0000, 0.0000), Te at (0.6667, 0.3333, 0.2434) and Cl at (0.3333, 0.6667, 0.8039).

As for the uncorrected formation energy: -0.540 eV per atom. As for the crystal system: trigonal. The magnetic moment comes out at 4.0 μB/f.u. For the raw total energy, the calculation gives -5.26 eV/atom. The volume comes out at 27.954 Å³ per atom.



The following is a DFT calculation (PBE) of TlRu2 after structural relaxation.

It has space group C2/m (No. 12), with a = 10.383 Å, b = 2.908 Å, c = 7.141 Å, α = 90.00°, β = 109.53° and γ = 90.00°. The asymmetric unit holds Tl at (0.170, 0.000, 0.141), Ru at (0.044, 0.500, 0.766) and Ru at (0.130, 0.000, 0.517).

As for the crystal system: monoclinic. The magnetic moment comes out at 0.0 μB/f.u. For the offset from the most stable computed form, the calculation gives 0.0952 eV per atom. The value obtained for the formation energy is 0.505 eV/atom. For the raw total energy, the calculation gives -6.47 eV/atom. The volume comes out at 16.934 Å³ per atom.



The following is a DFT calculation (PBE) of BaSrI4 after structural relaxation.

It has space group P2_1/c (No. 14), with a = 8.700 Å, b = 8.323 Å, c = 18.077 Å, α = 90.00°, β = 108.07° and γ = 90.00°. The asymmetric unit holds Ba at (0.219, 0.038, 0.159), Sr at (0.310, 0.178, 0.908), I at (0.023, 0.241, 0.983), I at (0.034, 0.146, 0.740), I at (0.454, 0.670, 0.177) and I at (0.457, 0.681, 0.410).

As for the uncorrected formation energy: -1.666 eV per atom. As for the crystal system: monoclinic. The magnetic moment comes out at 0.0 μB/f.u. For the raw total energy, the calculation gives -3.30 eV/atom. The volume comes out at 51.847 Å³ per atom.



> Which of these has the lowest volume?

CdMo3



What did the second record say?
The following is a DFT calculation (PBE) of CrCuTeOs2 after structural relaxation.

It has space group P4/mmm (No. 123), with a = 4.805 Å, b = 4.805 Å, c = 4.659 Å, α = 90.00°, β = 90.00° and γ = 90.00°. The asymmetric unit holds Cr at (0.000, 0.000, 0.000), Cu at (0.500, 0.500, 0.000), Te at (0.000, 0.000, 0.500) and Os at (0.000, 0.500, 0.500).

As for the uncorrected formation energy: 2.360 eV per atom. As for the crystal system: tetragonal. The magnetic moment comes out at 1.3 μB/f.u. For the raw total energy, the calculation gives -5.50 eV/atom. The volume comes out at 21.510 Å³ per atom.